# 1
CaSc2Re: PBEsol geometry, SCAN.

Summary:
**Calculated volume**: 20.3 Å³/atom
**Space-group type**: F-43m (216)
**E**: -26.84 eV per atom
**Total moment**: 0.0 μB/f.u.
**Mass density**: 6.47 Mg/m³
**DOS at the Fermi energy**: 16.10 states/eV/cell
**Energy relative to the elements**: 10.72 kcal/mol of atoms

Cell lengths 6.873, 6.873, 6.873 Å; angles 90.00, 90.00, 90.00 degrees
Element x y z (fractional)
Ca1 0.000 0.000 0.000
Ca2 0.000 0.500 0.500
Ca3 0.500 0.000 0.500
Ca4 0.500 0.500 0.000
Sc1 0.000 0.000 0.500
Sc2 0.000 0.500 0.000
Sc3 0.250 0.250 0.250
Sc4 0.250 0.750 0.750
Sc5 0.500 0.000 0.000
Sc6 0.500 0.500 0.500
Sc7 0.750 0.250 0.750
Sc8 0.750 0.750 0.250
Re1 0.250 0.250 0.750
Re2 0.250 0.750 0.250
Re3 0.750 0.250 0.250
Re4 0.750 0.750 0.750

# 2
CaReSe2: PBEsol geometry, SCAN.

Summary:
**Calculated volume**: 20.1 Å³/atom
**Space-group type**: P2/m (10)
**E**: -30.51 eV per atom
**Formation energy without anion corrections**: -0.281 eV/atom
**Total moment**: 0.0 μB/f.u.
**Mass density**: 7.93 Mg/m³
**DOS at the Fermi energy**: 2.15 states/eV/cell

Cell lengths 3.349, 3.927, 6.114 Å; angles 90.00, 90.78, 90.00 degrees
Element x y z (fractional)
Ca1 0.000 0.000 0.000
Re1 0.500 0.000 0.500
Se1 0.403 0.500 0.736
Se2 0.597 0.500 0.264

# 3
CaReSe3: PBEsol geometry, SCAN.

Summary:
**Calculated volume**: 23.6 Å³/atom
**Space-group type**: Pm-3m (221)
**E**: -28.48 eV per atom
**Formation energy without anion corrections**: -0.284 eV/atom
**Total moment**: 2.3 μB/f.u.
**Mass density**: 6.52 Mg/m³
**DOS at the Fermi energy**: 4.88 states/eV/cell

Cell lengths 4.904, 4.904, 4.904 Å; angles 90.00, 90.00, 90.00 degrees
Element x y z (fractional)
Ca1 0.000 0.000 0.000
Re1 0.500 0.500 0.500
Se1 0.000 0.500 0.500
Se2 0.500 0.000 0.500
Se3 0.500 0.500 0.000